VASP calculation (PBE) on crystalline SnSN3 at its relaxed geometry.

Values from the calculation:
- uncorrected formation energy (eV/atom) = 1.559
- size of the total moment (μB/atom) = 0.00
- raw total energy (eV per formula unit) = -25.31

Lattice parameters (Å, degrees): 3.6524 3.6524 3.6524 90.00 90.00 90.00
Closest atoms and distances in Å follow each position.
Sites, in units of the cell vectors:
Sn 0.0000 0.0000 0.0000  12 N 2.58
S 0.5000 0.5000 0.5000  6 N 1.83
N 0.0000 0.5000 0.5000  2 S 1.83
N 0.5000 0.0000 0.5000  2 S 1.83
N 0.5000 0.5000 0.0000  2 S 1.83